1.
VASP calculation (PBE) on MgAu2 after structural relaxation.

Calculated values
**Volume**: 430.58 Å³ per cell
**Formation energy from the elements**: -0.46 eV per atom
**Total energy**: -76.13 eV/cell

Geometry as CIF:
```
data_MgAu2
_chemical_formula_sum 'Mg8 Au16'
_cell_length_a 4.089
_cell_length_b 4.089
_cell_length_c 25.753
_cell_angle_alpha 90.00
_cell_angle_beta 90.00
_cell_angle_gamma 90.00
_symmetry_space_group_name_H-M 'I 41/a m d'
_symmetry_Int_Tables_number 141
loop_
_symmetry_equiv_pos_as_xyz
'x,y,z'
'-x,-y,-z'
'-y+1/4,x+3/4,z+1/4'
'y+1/4,-x+3/4,-z+1/4'
'-x+1/2,-y,z+1/2'
'x+1/2,y,-z+1/2'
'y+1/4,-x+1/4,z+3/4'
'-y+1/4,x+1/4,-z+3/4'
'x,-y,-z'
'-x,y,z'
'-y+1/4,-x+1/4,-z+3/4'
'y+1/4,x+1/4,z+3/4'
'-x+1/2,y,-z+1/2'
'x+1/2,-y,z+1/2'
'y+1/4,x+3/4,-z+1/4'
'-y+1/4,-x+3/4,z+1/4'
'x+1/2,y+1/2,z+1/2'
'-x+1/2,-y+1/2,-z+1/2'
'-y+3/4,x+1/4,z+3/4'
'y+3/4,-x+1/4,-z+3/4'
'-x,-y+1/2,z'
'x,y+1/2,-z'
'y+3/4,-x+3/4,z+1/4'
'-y+3/4,x+3/4,-z+1/4'
'x+1/2,-y+1/2,-z+1/2'
'-x+1/2,y+1/2,z+1/2'
'-y+3/4,-x+3/4,-z+1/4'
'y+3/4,x+3/4,z+1/4'
'-x,y+1/2,-z'
'x,-y+1/2,z'
'y+3/4,x+1/4,-z+3/4'
'-y+3/4,-x+1/4,z+3/4'
loop_
_atom_site_label
_atom_site_fract_x
_atom_site_fract_y
_atom_site_fract_z
_atom_site_occupancy
Mg1 0.000 0.250 0.296 1
Au1 0.000 0.250 0.127 1
Au2 0.000 0.250 0.789 1
```

2.
VASP calculation (PBE) on Cs2Li2SnI6 after structural relaxation.

Calculated values
**Volume**: 1059.68 Å³ per cell
**Raw formation energy**: -1.108 eV per atom
**Total energy**: -62.05 eV/cell

Geometry as CIF:
```
data_Cs2Li2SnI6
_chemical_formula_sum 'Cs4 Li4 Sn2 I12'
_cell_length_a 14.826
_cell_length_b 8.700
_cell_length_c 9.212
_cell_angle_alpha 90.00
_cell_angle_beta 116.91
_cell_angle_gamma 90.00
_symmetry_space_group_name_H-M 'C 1 2/m 1'
_symmetry_Int_Tables_number 12
loop_
_symmetry_equiv_pos_as_xyz
'x,y,z'
'-x,-y,-z'
'-x,y,-z'
'x,-y,z'
'x+1/2,y+1/2,z'
'-x+1/2,-y+1/2,-z'
'-x+1/2,y+1/2,-z'
'x+1/2,-y+1/2,z'
loop_
_atom_site_label
_atom_site_fract_x
_atom_site_fract_y
_atom_site_fract_z
_atom_site_occupancy
Cs1 0.210 0.000 0.183 1
Li1 0.062 0.500 0.269 1
Sn1 0.000 0.000 0.500 1
I1 0.047 0.245 0.788 1
I2 0.239 0.000 0.621 1
```

3.
VASP calculation (PBE) on NbSNCl2 after structural relaxation.

Calculated values
**Volume**: 80.86 Å³ per cell
**Polymorph energy (0 for the lowest one)**: 734 meV/atom
**Raw formation energy**: 1.083 eV per atom
**Total energy**: -20.80 eV/cell

Geometry as CIF:
```
data_NbSNCl2
_chemical_formula_sum 'Nb1 S1 N1 Cl2'
_cell_length_a 4.261
_cell_length_b 4.261
_cell_length_c 4.454
_cell_angle_alpha 90.00
_cell_angle_beta 90.00
_cell_angle_gamma 90.00
_symmetry_space_group_name_H-M 'P 4/m m m'
_symmetry_Int_Tables_number 123
_symmetry_space_group_name_Hall '-P 4 2'
loop_
_atom_site_label
_atom_site_fract_x
_atom_site_fract_y
_atom_site_fract_z
_atom_site_occupancy
Nb1 0.000 0.000 0.000 1
S1 0.500 0.500 0.000 1
N1 0.500 0.500 0.500 1
Cl1 0.000 0.500 0.500 1
```

4.
VASP calculation (PBE) on PuPa2Sb4 after structural relaxation.

Calculated values
**Volume**: 893.09 Å³ per cell
**Raw formation energy**: -0.326 eV per atom
**Total energy**: -208.37 eV/cell

Geometry as CIF:
```
data_PuPa2Sb4
_chemical_formula_sum 'Pu4 Pa8 Sb16'
_cell_length_a 4.369
_cell_length_b 14.052
_cell_length_c 14.547
_cell_angle_alpha 90.00
_cell_angle_beta 90.00
_cell_angle_gamma 90.00
_symmetry_space_group_name_H-M 'C m c m'
_symmetry_Int_Tables_number 63
_symmetry_space_group_name_Hall '-C 2c 2'
loop_
_atom_site_label
_atom_site_fract_x
_atom_site_fract_y
_atom_site_fract_z
_atom_site_occupancy
Pu1 0.000 0.109 0.250 1
Pa1 0.000 0.363 0.062 1
Sb1 0.000 0.000 0.000 1
Sb2 0.000 0.270 0.632 1
Sb3 0.000 0.445 0.250 1
```

N(E_F) per entry: 7.8, 0.0, 3.4, 74.4 states/eV/cell